(1)
KInGaAu (PBE, relaxed); energy = -2.756 eV/atom; symmetry = C2/m (12)
1.0
6.215 -2.325 0.000
6.215 2.325 0.000
-1.969 0.000 7.814
Au In Ga K
2 2 2 2
Direct
0.756 0.756 0.605
0.244 0.244 0.395
0.841 0.841 0.963
0.159 0.159 0.037
0.790 0.790 0.282
0.210 0.210 0.718
0.491 0.491 0.728
0.509 0.509 0.272


(2)
K2InGa3Au2 (PBE, relaxed); energy = -2.773 eV/atom; symmetry = Cm (8)
1.0
6.440 -2.301 0.000
6.440 2.301 0.000
-1.916 0.000 7.642
Ga K Au In
3 2 2 1
Direct
0.784 0.784 0.442
0.200 0.200 0.200
0.814 0.814 0.779
0.526 0.526 0.786
0.480 0.480 0.255
0.263 0.263 0.892
0.773 0.773 0.110
0.160 0.160 0.536


(3)
KInGaAu2 (PBE, relaxed); energy = -2.960 eV/atom; symmetry = I-4m2 (119)
1.0
1.569 -4.307 4.857
-4.488 -1.649 4.663
0.419 0.469 -6.649
Ga In Au K
1 1 2 1
Direct
0.500 0.500 0.000
0.000 0.000 0.000
0.870 0.370 0.500
0.630 0.130 0.500
0.250 0.750 0.500


(4)
LaInGaAu2 (PBE, relaxed); energy = -4.049 eV/atom; symmetry = P4/nmm (129)
1.0
4.627 0.000 0.000
0.000 4.627 0.000
0.000 0.000 10.823
Au Ga La In
4 2 2 2
Direct
0.500 0.500 0.000
0.500 0.000 0.613
0.000 0.000 0.000
0.000 0.500 0.387
0.500 0.500 0.500
0.000 0.000 0.500
0.000 0.500 0.739
0.500 0.000 0.261
0.000 0.500 0.139
0.500 0.000 0.861


(5)
Li2InGaAu2 (PBE, relaxed); energy = -3.132 eV/atom; symmetry = P-6m2 (187)
1.0
4.652 0.000 0.000
-2.326 4.029 0.000
0.000 0.000 5.764
Li Au In Ga
2 2 1 1
Direct
0.000 0.000 0.758
0.000 0.000 0.242
0.667 0.333 0.500
0.333 0.667 0.000
0.333 0.667 0.500
0.667 0.333 0.000


(6)
Li2Y2InGaAu2 (PBE, relaxed); energy = -4.257 eV/atom; symmetry = P-4m2 (115)
1.0
-4.735 -0.199 0.669
-0.515 -2.106 -4.267
0.668 -6.076 2.918
In Li Au Y Ga
1 2 2 2 1
Direct
0.000 0.000 0.000
0.000 0.500 0.260
0.500 0.000 0.740
0.000 0.500 0.742
0.500 0.000 0.258
0.000 0.000 0.500
0.500 0.500 0.000
0.500 0.500 0.500


(7)
Na2Mg2InGaAu2 (PBE, relaxed); energy = -2.518 eV/atom; symmetry = P-4m2 (115)
1.0
4.795 0.000 0.000
0.000 4.795 0.000
0.000 0.000 6.799
Ga Au Mg In Na
1 2 2 1 2
Direct
0.000 0.000 0.000
0.000 0.500 0.238
0.500 0.000 0.762
0.500 0.500 0.000
0.000 0.000 0.500
0.500 0.500 0.500
0.000 0.500 0.762
0.500 0.000 0.238


(8)
NdInGaAu2 (PBE, relaxed); energy = -4.027 eV/atom; symmetry = P4/nmm (129)
1.0
-2.487 1.400 3.437
-3.551 -2.099 -1.715
2.701 -9.239 5.716
Au Nd Ga In
4 2 2 2
Direct
0.000 0.000 0.000
0.000 0.500 0.345
0.500 0.000 0.655
0.500 0.500 0.000
0.500 0.000 0.232
0.000 0.500 0.768
0.500 0.000 0.877
0.000 0.500 0.123
0.000 0.000 0.500
0.500 0.500 0.500


(9)
PrInGaAu2 (PBE, relaxed); energy = -4.038 eV/atom; symmetry = P4/nmm (129)
1.0
4.490 0.000 0.000
0.000 4.490 0.000
0.000 0.000 11.175
In Au Pr Ga
2 4 2 2
Direct
0.000 0.000 0.500
0.500 0.500 0.500
0.500 0.500 0.000
0.000 0.500 0.346
0.500 0.000 0.654
0.000 0.000 0.000
0.500 0.000 0.233
0.000 0.500 0.767
0.500 0.000 0.877
0.000 0.500 0.123


(10)
Rb4InGaAu2 (PBE, relaxed); energy = -2.093 eV/atom; symmetry = Amm2 (38)
1.0
9.290 0.000 0.000
0.000 2.480 9.152
0.000 -2.480 9.152
Au In Rb Ga
2 1 4 1
Direct
0.000 0.285 0.285
0.000 0.713 0.713
0.000 0.563 0.563
0.750 0.867 0.867
0.744 0.142 0.142
0.250 0.867 0.867
0.256 0.142 0.142
0.000 0.422 0.422


(11)
InGaAu2S4 (PBE, relaxed); energy = -3.921 eV/atom; symmetry = I-4 (82)
1.0
-2.873 2.873 5.632
2.873 -2.873 5.632
2.873 2.873 -5.632
S Au In Ga
4 2 1 1
Direct
0.884 0.883 0.530
0.117 0.647 0.001
0.353 0.353 0.470
0.647 0.116 0.999
0.500 0.500 0.000
0.750 0.250 0.500
0.250 0.750 0.500
0.000 0.000 0.000


(12)
SmInGaAu2 (PBE, relaxed); energy = -3.998 eV/atom; symmetry = P4/nmm (129)
1.0
4.430 0.000 0.000
0.000 4.430 0.000
0.000 0.000 11.237
In Ga Au Sm
2 2 4 2
Direct
0.000 0.000 0.500
0.500 0.500 0.500
0.500 0.000 0.876
0.000 0.500 0.124
0.000 0.000 0.000
0.500 0.500 0.000
0.500 0.000 0.656
0.000 0.500 0.344
0.500 0.000 0.231
0.000 0.500 0.769


(13)
SrInGaAu2 (PBE, relaxed); energy = -3.333 eV/atom; symmetry = P4/nmm (129)
1.0
4.670 0.000 0.000
0.000 4.670 0.000
0.000 0.000 11.036
Sr In Au Ga
2 2 4 2
Direct
0.500 0.000 0.257
0.000 0.500 0.743
0.000 0.500 0.137
0.500 0.000 0.863
0.000 0.000 0.000
0.500 0.000 0.614
0.000 0.500 0.386
0.500 0.500 0.000
0.000 0.000 0.500
0.500 0.500 0.500